(1)
# RbPaSe4

RbPaSe4 after structural relaxation (GGA-PBE, Alexandria).

```
RbPaSe4
1.0
4.810 0.267 -0.111
1.461 4.590 -0.111
0.801 0.620 9.052
Rb Pa Se
1 1 4
Direct
0.500 0.500 0.500 Rb
0.000 0.000 0.000 Pa
0.619 0.619 0.089 Se
0.381 0.381 0.911 Se
0.105 0.105 0.715 Se
0.895 0.895 0.285 Se
```

Values from the calculation:
symmetry: C2/m
E above lowest polymorph: 69 meV per atom


(2)
# NaCa2TcN4

NaCa2TcN4 after structural relaxation (GGA-PBE, Alexandria).

```
NaCa2TcN4
1.0
-3.790 -0.028 3.814
-0.612 -6.209 -0.654
5.560 -1.130 5.517
Na Ca Tc N
2 4 2 8
Direct
0.968 0.169 0.500 Na
0.468 0.831 0.000 Na
0.468 0.310 0.256 Ca
0.468 0.310 0.744 Ca
0.968 0.690 0.756 Ca
0.968 0.690 0.244 Ca
0.507 0.819 0.500 Tc
0.007 0.181 0.000 Tc
0.342 0.186 0.000 N
0.842 0.814 0.500 N
0.417 0.100 0.500 N
0.917 0.900 0.000 N
0.414 0.682 0.697 N
0.914 0.318 0.197 N
0.914 0.318 0.803 N
0.414 0.682 0.303 N
```

Values from the calculation:
symmetry: Pmn2_1
calculated total energy: -108.2 eV/cell


(3)
# DyHo6Rh2

DyHo6Rh2 after structural relaxation (GGA-PBE, Alexandria).

```
DyHo6Rh2
1.0
3.585 0.000 1.013
1.540 7.878 1.400
-0.463 -0.004 8.483
Dy Ho Rh
1 6 2
Direct
0.000 0.500 0.500 Dy
0.020 0.149 0.811 Ho
0.273 0.337 0.116 Ho
0.727 0.663 0.884 Ho
0.306 0.835 0.553 Ho
0.694 0.165 0.447 Ho
0.980 0.851 0.189 Ho
0.402 0.425 0.770 Rh
0.598 0.575 0.230 Rh
```

Values from the calculation:
symmetry: C2/m
energy of formation: -0.416 eV/atom


(4)
# LiY6Hg5

LiY6Hg5 after structural relaxation (GGA-PBE, Alexandria).

```
LiY6Hg5
1.0
-4.855 1.459 -1.311
-1.271 -6.763 -2.823
-5.073 -1.722 6.411
Y Hg Li
6 5 1
Direct
0.832 0.754 0.337 Y
0.832 0.246 0.337 Y
0.500 0.254 0.000 Y
0.500 0.746 0.000 Y
0.168 0.754 0.663 Y
0.168 0.246 0.663 Y
0.667 0.500 0.667 Hg
0.346 0.000 0.308 Hg
0.000 0.500 0.000 Hg
0.654 0.000 0.692 Hg
0.333 0.500 0.333 Hg
0.000 0.000 0.000 Li
```

Values from the calculation:
symmetry: Cmmm
energy of formation: -0.438 eV/atom


Table of size of the total moment (μB per atom), in record order: 0.0000; 0.0000; 0.0000; 0.0000